# 1
# Mg2AlO (PBE-GGA, optimized geometry)
# Energy above the lowest structure with this stoichiometry ... 0 meV per atom
# Formation energy without anion corrections ... -0.97 eV per atom
# Crystal system ... tetragonal
# Total DFT energy (no corrections) ... -63.15 eV per cell
data_Mg2AlO
_cell_length_a 6.063
_cell_length_b 6.063
_cell_length_c 8.178
_cell_angle_alpha 90.00
_cell_angle_beta 90.00
_cell_angle_gamma 90.00
_space_group_name_H-M_alt 'P 1'
_space_group_IT_number 1
loop_
_space_group_symop_operation_xyz
'x,y,z'
loop_
_atom_site_label
_atom_site_fract_x
_atom_site_fract_y
_atom_site_fract_z
Mg1 0.122 0.250 0.125
Mg2 0.250 0.622 0.375
Mg3 0.250 0.878 0.875
Mg4 0.378 0.250 0.625
Mg5 0.622 0.750 0.625
Mg6 0.750 0.122 0.875
Mg7 0.750 0.378 0.375
Mg8 0.878 0.750 0.125
Al1 0.000 0.000 0.500
Al2 0.000 0.500 0.750
Al3 0.500 0.000 0.250
Al4 0.500 0.500 0.000
O1 0.000 0.000 0.000
O2 0.000 0.500 0.250
O3 0.500 0.000 0.750
O4 0.500 0.500 0.500

***

# 2
# Mn2HRuPt (PBE-GGA, optimized geometry)
# Energy above the lowest structure with this stoichiometry ... 0 meV per atom
# Crystal system ... tetragonal
# Total DFT energy (no corrections) ... -37.33 eV per cell
data_Mn2HRuPt
_cell_length_a 4.015
_cell_length_b 4.015
_cell_length_c 3.627
_cell_angle_alpha 90.00
_cell_angle_beta 90.00
_cell_angle_gamma 90.00
_space_group_name_H-M_alt 'P 1'
_space_group_IT_number 1
loop_
_space_group_symop_operation_xyz
'x,y,z'
loop_
_atom_site_label
_atom_site_fract_x
_atom_site_fract_y
_atom_site_fract_z
Mn1 0.000 0.500 0.000
Mn2 0.500 0.000 0.000
H1 0.000 0.000 0.000
Ru1 0.000 0.000 0.500
Pt1 0.500 0.500 0.500